Below is a geometry-optimized SrNbB structure, with properties calculated at the PBE-GGA level.

For the theoretical density, the calculation gives 4.53 g/cm3. The value obtained for the total energy is -3.8018 eV/atom.

It has space group F-43m (No. 216), with a = 6.545 Å, b = 6.545 Å, c = 6.545 Å, α = 90.00°, β = 90.00° and γ = 90.00°. Symmetry generates all atoms from Sr at (0.000, 0.000, 0.000), Nb at (0.250, 0.250, 0.250) and B at (0.250, 0.250, 0.750).